# 1
BaMoRu3: relaxed, PBE-GGA.

Unit cell a=4.810 b=4.810 c=4.810 alpha=90.00 beta=90.00 gamma=90.00
Sites, in units of the cell vectors:
1 Ba 0.000 0.000 0.000
2 Mo 0.500 0.500 0.500
3 Ru 0.000 0.500 0.500
4 Ru 0.500 0.000 0.500
5 Ru 0.500 0.500 0.000

## Properties
symmetry	Pm-3m (221)
formation energy from the elements	965.2	meV/atom
calculated volume	22.26	Å³ per atom
relative energy among the computed polymorphs	0.000	eV/atom
DOS(E_F)	7.03	states/eV/cell



# 2
Zr3Cd7: relaxed, PBE-GGA.

Unit cell a=8.281 b=8.281 c=6.267 alpha=105.85 beta=105.85 gamma=31.65
Sites, in units of the cell vectors:
1 Zr 0.000 0.000 0.000
2 Zr 0.204 0.204 0.613
3 Zr 0.796 0.796 0.387
4 Cd 0.000 0.000 0.500
5 Cd 0.198 0.198 0.108
6 Cd 0.396 0.396 0.177
7 Cd 0.404 0.404 0.683
8 Cd 0.596 0.596 0.317
9 Cd 0.604 0.604 0.823
10 Cd 0.802 0.802 0.892

## Properties
symmetry	C2/m (12)
formation energy from the elements	-73.0	meV/atom
calculated volume	21.62	Å³ per atom
DOS(E_F)	6.50	states/eV/cell



# 3
SbPPb: relaxed, PBE-GGA.

Unit cell a=6.399 b=3.682 c=6.824 alpha=90.00 beta=90.27 gamma=90.00
Sites, in units of the cell vectors:
1 Sb 0.000 0.000 0.000
2 Sb 0.500 0.500 0.000
3 P 0.332 0.000 0.772
4 P 0.832 0.500 0.772
5 Pb 0.165 0.500 0.440
6 Pb 0.665 0.000 0.440

## Properties
symmetry	Cm (8)
calculated volume	26.80	Å³ per atom
relative energy among the computed polymorphs	0.047	eV/atom
energy relative to the elements, uncorrected	0.1228	eV/atom
DOS(E_F)	2.87	states/eV/cell